Entry 1:
The following is a PBE-GGA calculation of a relaxed structure of ErMgGeAu, from Alexandria via LeMat-Bulk.

Results
Its calculated density is 9.27 g/cm³. The calculation puts the total moment at 0.0 μB/cell. The value obtained for the density of states at the Fermi level is 1.1 states/eV per cell. Its energy of formation is -0.6431 eV per atom.

a = 4.888 Å, b = 4.888 Å, c = 4.888 Å
α = 60.00°, β = 60.00°, γ = 60.00°
Fractional coordinates of all 4 atoms:
Ge  0.250  0.250  0.250
Mg  0.500  0.500  0.500
Au  0.750  0.750  0.750
Er  0.000  0.000  0.000

***

Entry 2:
The following is a PBE-GGA calculation of a relaxed structure of NaErGeAu, from Alexandria via LeMat-Bulk.

Results
Its calculated density is 8.90 g/cm³. The calculation puts the total moment at 0.0 μB/cell. The value obtained for the density of states at the Fermi level is 2.5 states/eV per cell. Its energy of formation is -0.4842 eV per atom.

a = 4.950 Å, b = 4.950 Å, c = 4.950 Å
α = 60.00°, β = 60.00°, γ = 60.00°
Fractional coordinates of all 4 atoms:
Er  0.750  0.750  0.750
Na  0.250  0.250  0.250
Au  0.500  0.500  0.500
Ge  0.000  0.000  0.000

***

Entry 3:
The following is a PBE-GGA calculation of a relaxed structure of NdErGeAu, from Alexandria via LeMat-Bulk.

Results
Its calculated density is 9.70 g/cm³. The calculation puts the total moment at 0.0 μB/cell. The value obtained for the density of states at the Fermi level is 2.4 states/eV per cell. Its energy of formation is -0.8104 eV per atom. The calculation puts the energy above the most stable polymorph in this dataset at 0.0 meV per atom.

a = 4.095 Å, b = 4.359 Å, c = 5.938 Å
α = 90.00°, β = 110.17°, γ = 90.00°
Fractional coordinates of all 4 atoms:
Er  0.135  0.000  0.270
Ge  0.588  0.500  0.175
Au  0.420  0.000  0.840
Nd  0.857  0.500  0.715